VASP calculation (PBE) on a relaxed Na6Tl crystal.

Cell: 5.7297 5.7297 7.5056 Å, 90.00 90.00 90.00°
With the nearest neighbours (Å) after each atom.
Element x y z (fractional)
Na 0.5000 0.5000 0.0000  8 Na 3.42
Na 0.5000 0.0000 0.7520  6 Na 3.42-3.78, 2 Tl 3.42
Na 0.0000 0.5000 0.7520  2 Tl 3.42, 6 Na 3.42-3.78
Na 0.0000 0.0000 0.5000  8 Na 3.43, 2 Tl 3.75
Na 0.5000 0.0000 0.2480  6 Na 3.42-3.78, 2 Tl 3.42
Na 0.0000 0.5000 0.2480  2 Tl 3.42, 6 Na 3.42-3.78
Tl 0.0000 0.0000 0.0000  10 Na 3.42-3.75

* energy above the lowest structure with this stoichiometry: 0.046 eV/atom
* symmetry: P4/mmm
* formation enthalpy at 0 K: 0.07 eV/f.u.
* theoretical density: 2.31 g cm⁻³

***

VASP calculation (PBE) on a relaxed KSr2GeRh crystal.

Cell: 5.9408 5.9408 4.8776 Å, 90.00 90.00 90.00°
With the nearest neighbours (Å) after each atom.
Element x y z (fractional)
K 0.5000 0.5000 0.5000  8 Sr 3.84, 4 Ge 4.20
Sr 0.5000 0.0000 0.0000  2 Rh 2.97
Rh 0.0000 0.0000 0.0000  2 Ge 2.44
Ge 0.0000 0.0000 0.5000  2 Rh 2.44
Sr 0.0000 0.5000 0.0000  2 Rh 2.97

* symmetry: P4/mmm
* formation enthalpy at 0 K: -1.16 eV/f.u.
* theoretical density: 3.76 g cm⁻³